Here is a geometry-optimized Ac2YCu structure from Alexandria. Energies are from PBE.

The structure in CIF format:
```
data_Ac2YCu
_chemical_formula_sum 'Ac2 Y1 Cu1'
_cell_length_a 3.7923
_cell_length_b 3.7923
_cell_length_c 12.0404
_cell_angle_alpha 80.94
_cell_angle_beta 80.94
_cell_angle_gamma 60.00
_symmetry_space_group_name_H-M 'P 1'
_symmetry_Int_Tables_number 1
_symmetry_space_group_name_Hall 'P 1'
loop_
_atom_site_label
_atom_site_fract_x
_atom_site_fract_y
_atom_site_fract_z
_atom_site_occupancy
Y1 0.5000 0.5000 0.5000 1
Ac1 0.0821 0.0821 0.7536 1
Ac2 0.9179 0.9179 0.2464 1
Cu1 0.0000 0.0000 0.0000 1
```

Summary:
- Theoretical density: 6.83 g cm⁻³
- Excess energy over the best structure of this formula in the dataset: 466.8 meV per atom
- Space group: R-3m (166)
- Formation energy from the elements: 1.857 eV per formula unit


Here is a geometry-optimized AcYZnCu structure from Alexandria. Energies are from PBE.

The structure in CIF format:
```
data_AcYZnCu
_chemical_formula_sum 'Ac1 Y1 Zn1 Cu1'
_cell_length_a 5.2495
_cell_length_b 5.2495
_cell_length_c 5.2495
_cell_angle_alpha 60.00
_cell_angle_beta 60.00
_cell_angle_gamma 60.00
_symmetry_space_group_name_H-M 'P 1'
_symmetry_Int_Tables_number 1
_symmetry_space_group_name_Hall 'P 1'
loop_
_atom_site_label
_atom_site_fract_x
_atom_site_fract_y
_atom_site_fract_z
_atom_site_occupancy
Y1 0.7500 0.7500 0.7500 1
Ac1 0.2500 0.2500 0.2500 1
Zn1 0.0000 0.0000 0.0000 1
Cu1 0.5000 0.5000 0.5000 1
```

Summary:
- Theoretical density: 7.22 g cm⁻³
- Space group: F-43m (216)
- Formation energy from the elements: -0.701 eV per formula unit


Here is a geometry-optimized Ac3Zn2Cu9 structure from Alexandria. Energies are from PBE.

The structure in CIF format:
```
data_Ac3Zn2Cu9
_chemical_formula_sum 'Ac3 Zn2 Cu9'
_cell_length_a 4.2780
_cell_length_b 8.4779
_cell_length_c 8.4779
_cell_angle_alpha 65.01
_cell_angle_beta 75.39
_cell_angle_gamma 75.39
_symmetry_space_group_name_H-M 'P 1'
_symmetry_Int_Tables_number 1
_symmetry_space_group_name_Hall 'P 1'
loop_
_atom_site_label
_atom_site_fract_x
_atom_site_fract_y
_atom_site_fract_z
_atom_site_occupancy
Ac1 0.0000 0.0000 0.0000 1
Ac2 0.7071 0.2929 0.2929 1
Ac3 0.2929 0.7071 0.7071 1
Zn1 0.5000 0.3121 0.6879 1
Zn2 0.5000 0.6879 0.3121 1
Cu1 0.0000 0.5000 0.5000 1
Cu2 0.6549 0.9904 0.6999 1
Cu3 0.3451 0.0096 0.3001 1
Cu4 0.6549 0.6999 0.9904 1
Cu5 0.3451 0.3001 0.0096 1
Cu6 0.8828 0.8307 0.4037 1
Cu7 0.1172 0.1693 0.5963 1
Cu8 0.8828 0.4037 0.8307 1
Cu9 0.1172 0.5963 0.1693 1
```

Summary:
- Theoretical density: 8.64 g cm⁻³
- Space group: Immm (71)
- Formation energy from the elements: -2.072 eV per formula unit